[1]
Compound: Ti8CrRe2
Source: the Alexandria database
Functional: GGA-PBE
Structure: optimized geometry

Summary:
- ΔE_f: -0.1479 eV/atom
- Space group: C2/m
- Total magnetization: 0.00 Bohr magnetons per cell

```
11
Lattice="6.511 -2.245 0.000 6.511 2.245 0.000 -3.431 0.000 5.999" Properties=species:S:1:pos:R:3 pbc="T T T"
Ti 0.018 0.000 1.318
Ti -0.609 0.000 4.103
Ti 2.293 0.000 3.357
Ti 5.063 0.000 0.318
Ti 4.529 0.000 5.681
Ti 7.299 0.000 2.642
Ti 10.201 0.000 1.896
Ti 9.574 0.000 4.681
Cr 4.796 0.000 2.999
Re 2.495 0.000 0.792
Re 7.097 0.000 5.207
```

[2]
Compound: Pr2Nd2Sm2Mg
Source: the Alexandria database
Functional: GGA-PBE
Structure: optimized geometry

Summary:
- ΔE_f: 0.0803 eV/atom
- Space group: C2/m
- Total magnetization: 0.00 Bohr magnetons per cell

```
7
Lattice="5.954 -1.785 0.000 5.954 1.785 0.000 -4.390 0.000 11.153" Properties=species:S:1:pos:R:3 pbc="T T T"
Pr -0.582 0.000 2.934
Pr 8.100 0.000 8.219
Nd 2.541 0.000 1.518
Nd 4.977 0.000 9.634
Sm -0.551 0.000 6.514
Sm 8.069 0.000 4.639
Mg 5.954 0.000 0.000
```

[3]
Compound: AcTb2PmEr4
Source: the Alexandria database
Functional: GGA-PBE
Structure: optimized geometry

Summary:
- ΔE_f: 0.4486 eV/atom
- Space group: Imma
- Total magnetization: 3.70 Bohr magnetons per cell

```
16
Lattice="-3.446 5.945 6.707 3.446 -5.945 6.707 3.446 5.945 -6.707" Properties=species:S:1:pos:R:3 pbc="T T T"
Ac 0.000 0.000 0.000
Ac 0.000 5.945 0.000
Tb 3.446 0.000 0.000
Tb -1.723 2.973 3.354
Tb 0.000 0.000 6.707
Tb 1.723 2.973 3.354
Pm 1.723 2.973 -3.354
Pm 1.723 -2.973 3.354
Er 3.446 0.035 3.234
Er 1.811 2.973 0.037
Er 5.081 2.973 0.037
Er 0.000 0.035 3.473
Er 3.446 5.910 3.234
Er -1.635 2.973 6.671
Er 1.635 2.973 6.671
Er 0.000 5.910 3.473
```

[4]
Compound: Co2ReB4
Source: the Alexandria database
Functional: GGA-PBE
Structure: optimized geometry

Summary:
- ΔE_f: 0.9171 eV/atom
- Space group: I4/mmm
- Total magnetization: 0.83 Bohr magnetons per cell

```
7
Lattice="-1.992 1.992 5.146 1.992 -1.992 5.146 1.992 1.992 -5.146" Properties=species:S:1:pos:R:3 pbc="T T T"
Co 0.000 0.000 1.140
Co 0.000 0.000 9.152
Re 0.000 0.000 5.146
B 1.992 0.000 0.000
B 0.000 0.000 2.998
B 0.000 1.992 0.000
B 0.000 0.000 7.294
```

[5]
Compound: LaPm6Hg2
Source: the Alexandria database
Functional: GGA-PBE
Structure: optimized geometry

Summary:
- Energy relative to the lowest polymorph listed for this composition: 0.108 eV per atom
- ΔE_f: -0.1007 eV/atom
- Space group: P4/mmm
- Total magnetization: 0.00 Bohr magnetons per cell

```
9
Lattice="5.149 0.000 0.000 0.000 5.149 0.000 0.000 0.000 11.345" Properties=species:S:1:pos:R:3 pbc="T T T"
La 0.000 0.000 0.000
Pm 0.000 0.000 5.673
Pm 0.000 2.575 3.088
Pm 0.000 2.575 8.257
Pm 2.575 0.000 3.088
Pm 2.575 0.000 8.257
Pm 2.575 2.575 5.673
Hg 2.575 2.575 1.360
Hg 2.575 2.575 9.985
```

[6]
Compound: NaS2Cl
Source: the Alexandria database
Functional: GGA-PBE
Structure: optimized geometry

Summary:
- E_form (uncorrected): 0.495 eV per atom
- Energy relative to the lowest polymorph listed for this composition: 1.258 eV per atom
- Space group: Fm-3m
- Total magnetization: 1.97 Bohr magnetons per cell

```
4
Lattice="0.000 3.484 3.484 3.484 0.000 3.484 3.484 3.484 0.000" Properties=species:S:1:pos:R:3 pbc="T T T"
Na 0.000 0.000 0.000
S 1.742 1.742 1.742
S 5.227 5.227 5.227
Cl 3.484 3.484 3.484
```

[7]
Compound: HoTm4Bi3
Source: the Alexandria database
Functional: GGA-PBE
Structure: optimized geometry

Summary:
- ΔE_f: -0.2396 eV/atom
- Space group: C2/m
- Total magnetization: 0.30 Bohr magnetons per cell

```
8
Lattice="8.154 -2.168 0.000 8.154 2.168 0.000 -5.801 0.000 9.452" Properties=species:S:1:pos:R:3 pbc="T T T"
Ho 0.000 0.000 0.000
Tm -1.338 0.000 3.162
Tm 2.181 0.000 3.918
Tm 8.326 0.000 5.534
Tm 11.845 0.000 6.290
Bi 1.579 0.000 7.326
Bi 5.254 0.000 4.726
Bi 8.929 0.000 2.127
```

[8]
Compound: YNi2H8
Source: the Alexandria database
Functional: GGA-PBE
Structure: optimized geometry

Summary:
- VASP energy: -4.22 eV/atom
- Space group: C2/m
- Total magnetization: 0.00 Bohr magnetons per cell

```
11
Lattice="3.923 -3.501 0.000 3.923 3.501 0.000 -1.536 0.000 3.119" Properties=species:S:1:pos:R:3 pbc="T T T"
Y 0.000 0.000 0.000
Ni 3.155 1.243 1.559
Ni 3.155 -1.243 1.559
H 2.194 2.354 1.082
H 4.117 2.354 2.037
H 3.923 1.239 0.000
H 2.203 0.000 1.075
H 4.108 0.000 2.044
H 3.923 -1.239 0.000
H 2.194 -2.354 1.082
H 4.117 -2.354 2.037
```

[9]
Compound: La2ZrBIr
Source: the Alexandria database
Functional: GGA-PBE
Structure: optimized geometry

Summary:
- ΔE_f: 0.1359 eV/atom
- Space group: P4/mmm
- Total magnetization: 0.00 Bohr magnetons per cell

```
5
Lattice="5.166 0.000 0.000 0.000 5.166 0.000 0.000 0.000 4.534" Properties=species:S:1:pos:R:3 pbc="T T T"
La 0.000 2.583 0.000
La 2.583 0.000 0.000
Zr 0.000 0.000 2.267
B 0.000 0.000 0.000
Ir 2.583 2.583 2.267
```

[10]
Compound: KCu3O3
Source: the Alexandria database
Functional: GGA-PBE
Structure: optimized geometry

Summary:
- E_form (uncorrected): -0.689 eV per atom
- Space group: P6_3/m
- Total magnetization: 0.00 Bohr magnetons per cell

```
14
Lattice="9.133 0.000 0.000 -4.566 7.909 0.000 0.000 0.000 3.056" Properties=species:S:1:pos:R:3 pbc="T T T"
K 0.000 5.273 0.764
K 4.566 2.636 2.292
Cu -1.276 2.237 0.764
Cu -1.991 7.896 0.764
Cu 1.299 2.223 2.292
Cu 3.267 5.686 0.764
Cu 6.558 0.013 2.292
Cu 5.842 5.672 2.292
O -0.409 3.010 2.292
O -1.756 6.758 2.292
O 2.402 1.859 0.764
O 2.164 6.050 2.292
O 6.322 1.151 0.764
O 4.975 4.899 0.764
```

[11]
Compound: Mg2MoPt
Source: the Alexandria database
Functional: GGA-PBE
Structure: optimized geometry

Summary:
- Energy relative to the lowest polymorph listed for this composition: 0.116 eV per atom
- ΔE_f: -0.0893 eV/atom
- Space group: Pm
- Total magnetization: 0.00 Bohr magnetons per cell

```
4
Lattice="2.861 0.000 0.000 0.000 4.015 0.000 -0.009 0.000 5.892" Properties=species:S:1:pos:R:3 pbc="T T T"
Mg 0.000 0.000 0.000
Mg 1.429 2.007 1.572
Mo 1.423 2.007 4.359
Pt 2.854 0.000 3.053
```

[12]
Compound: ZnCdS2N
Source: the Alexandria database
Functional: GGA-PBE
Structure: optimized geometry

Summary:
- E_form (uncorrected): 1.184 eV per atom
- Energy relative to the lowest polymorph listed for this composition: 0.444 eV per atom
- Space group: P4/mmm
- Total magnetization: 2.06 Bohr magnetons per cell

```
5
Lattice="5.097 0.000 0.000 0.000 5.097 0.000 0.000 0.000 4.161" Properties=species:S:1:pos:R:3 pbc="T T T"
Zn 0.000 0.000 0.000
Cd 2.548 2.548 2.080
S 0.000 2.548 2.080
S 2.548 0.000 2.080
N 2.548 2.548 0.000
```

- The highest total magnetization belongs to which entry?
  AcTb2PmEr4